[1]
VASP calculation (PBE-GGA) on a relaxed structure of LiSiBrO2.

```
LiSiBrO2
1.0
3.434 0.000 0.000
0.000 5.813 0.000
0.000 0.000 3.434
Si O Br Li
1 2 1 1
Direct
0.000 0.000 0.000
0.000 0.000 0.500
0.500 0.000 0.000
0.000 0.500 0.000
0.500 0.500 0.500
```

Raw formation energy   -1.59 eV per atom
ρ   3.6 g/cm³

=====

[2]
VASP calculation (PBE-GGA) on a relaxed structure of NaNd2Th.

```
NaNd2Th
1.0
-1.509 -2.947 -1.487
-1.309 -0.967 3.244
-8.911 5.544 -1.945
Na Nd Th
1 2 1
Direct
0.500 0.500 0.500
0.000 0.000 0.774
0.000 0.000 0.226
0.500 0.500 0.000
```

ρ   6.4 g/cm³
Energy of formation   0.073 eV per atom

=====

[3]
VASP calculation (PBE-GGA) on a relaxed structure of LuFeCo2.

```
LuFeCo2
1.0
3.059 0.000 0.000
0.000 3.059 0.000
0.000 0.000 6.161
Lu Co Fe
1 2 1
Direct
0.500 0.500 0.500
0.000 0.000 0.789
0.000 0.000 0.211
0.500 0.500 0.000
```

ρ   10.0 g/cm³
Energy of formation   -0.045 eV per atom

=====

no.,total DFT energy (no corrections) (eV/atom),N(E_F) (states/eV/f.u.)
1,-5.37,0.1
2,-4.50,3.8
3,-6.84,1.7